Crystalline Nd7Sm2Ho3 at its relaxed geometry. Source: the Alexandria database, functional PBE.

Unit cell a=3.6401 b=5.9179 c=19.1256 alpha=93.65 beta=90.00 gamma=90.00
Sites, in units of the cell vectors:
Nd 0.5000 0.7417 0.4647
Sm 0.5000 0.2976 0.7024
Sm 0.5000 0.7024 0.2976
Nd 0.0000 0.3270 0.8558
Nd 0.0000 0.6730 0.1442
Ho 0.5000 0.5000 0.0000
Ho 0.0000 0.7857 0.6316
Nd 0.5000 0.1757 0.1817
Nd 0.5000 0.8243 0.8183
Ho 0.0000 0.2143 0.3684
Nd 0.5000 0.2583 0.5353
Nd 0.0000 0.0000 0.0000

Properties
The symmetry is P2/m. The value obtained for the formation energy is 0.09 eV per atom. The energy above the lowest structure with this stoichiometry is 22 meV per atom.

Crystalline Nd6Sm16Ho7 at its relaxed geometry. Source: the Alexandria database, functional PBE.

Unit cell a=11.2949 b=11.2949 c=11.2949 alpha=60.00 beta=60.00 gamma=60.00
Sites, in units of the cell vectors:
Sm 0.3489 0.9532 0.3489
Sm 0.6226 0.1258 0.1258
Ho 0.5000 0.5000 0.0000
Sm 0.8742 0.8742 0.3774
Nd 0.7272 0.2728 0.2728
Nd 0.7272 0.2728 0.7272
Sm 0.9532 0.3489 0.3489
Sm 0.3489 0.3489 0.9532
Sm 0.1258 0.1258 0.1258
Sm 0.8742 0.3774 0.8742
Sm 0.3489 0.3489 0.3489
Ho 0.0000 0.5000 0.5000
Sm 0.8742 0.8742 0.8742
Ho 0.0000 0.0000 0.0000
Nd 0.2728 0.7272 0.7272
Ho 0.5000 0.0000 0.5000
Nd 0.2728 0.7272 0.2728
Sm 0.1258 0.6226 0.1258
Sm 0.3774 0.8742 0.8742
Ho 0.5000 0.0000 0.0000
Sm 0.6511 0.6511 0.0468
Ho 0.0000 0.5000 0.0000
Ho 0.0000 0.0000 0.5000
Sm 0.6511 0.6511 0.6511
Sm 0.0468 0.6511 0.6511
Nd 0.7272 0.7272 0.2728
Nd 0.2728 0.2728 0.7272
Sm 0.1258 0.1258 0.6226
Sm 0.6511 0.0468 0.6511

Properties
The symmetry is Fm-3m. The value obtained for the formation energy is 0.21 eV per atom.

Please write out number 2 again, unchanged.
Crystalline Nd6Sm16Ho7 at its relaxed geometry. Source: the Alexandria database, functional PBE.

Unit cell a=11.2949 b=11.2949 c=11.2949 alpha=60.00 beta=60.00 gamma=60.00
Sites, in units of the cell vectors:
Sm 0.3489 0.9532 0.3489
Sm 0.6226 0.1258 0.1258
Ho 0.5000 0.5000 0.0000
Sm 0.8742 0.8742 0.3774
Nd 0.7272 0.2728 0.2728
Nd 0.7272 0.2728 0.7272
Sm 0.9532 0.3489 0.3489
Sm 0.3489 0.3489 0.9532
Sm 0.1258 0.1258 0.1258
Sm 0.8742 0.3774 0.8742
Sm 0.3489 0.3489 0.3489
Ho 0.0000 0.5000 0.5000
Sm 0.8742 0.8742 0.8742
Ho 0.0000 0.0000 0.0000
Nd 0.2728 0.7272 0.7272
Ho 0.5000 0.0000 0.5000
Nd 0.2728 0.7272 0.2728
Sm 0.1258 0.6226 0.1258
Sm 0.3774 0.8742 0.8742
Ho 0.5000 0.0000 0.0000
Sm 0.6511 0.6511 0.0468
Ho 0.0000 0.5000 0.0000
Ho 0.0000 0.0000 0.5000
Sm 0.6511 0.6511 0.6511
Sm 0.0468 0.6511 0.6511
Nd 0.7272 0.7272 0.2728
Nd 0.2728 0.2728 0.7272
Sm 0.1258 0.1258 0.6226
Sm 0.6511 0.0468 0.6511

Properties
The symmetry is Fm-3m. The value obtained for the formation energy is 0.21 eV per atom.